(1)
This record from the Alexandria database describes an optimized crystal structure of YSb3Pt. The functional is PBEsol.

extended XYZ file:
```
5
Lattice="5.541 0.000 0.000 0.000 5.541 0.000 0.000 0.000 5.541" Properties=species:S:1:pos:R:3 pbc="T T T"
Sb 0.000 0.000 2.771
Sb 2.771 0.000 0.000
Sb 0.000 2.771 0.000
Pt 2.771 2.771 2.771
Y 0.000 0.000 0.000
```

Results
**Formation energy (no corrections)**: 1.065 eV per atom
**Electronic total energy**: -4.426 eV/atom

(2)
This record from the Alexandria database describes an optimized crystal structure of ZrSbPt2. The functional is PBEsol.

extended XYZ file:
```
4
Lattice="-0.724 3.733 2.143 -3.436 2.483 -1.039 -4.076 -0.301 3.592" Properties=species:S:1:pos:R:3 pbc="T T T"
Pt -3.984 -0.219 3.481
Pt -5.569 4.972 2.794
Sb -4.680 2.461 3.022
Zr -2.197 1.357 1.339
```

Results
**Formation energy (no corrections)**: -0.631 eV per atom
**Electronic total energy**: -7.525 eV/atom

(3)
This record from the Alexandria database describes an optimized crystal structure of Zr2SbPt2. The functional is PBEsol.

extended XYZ file:
```
10
Lattice="-0.848 1.094 -3.313 -6.163 -3.958 0.271 -3.570 5.750 2.813" Properties=species:S:1:pos:R:3 pbc="T T T"
Pt -2.120 1.619 1.077
Pt -4.340 -1.747 0.534
Pt -7.612 0.173 2.006
Pt -5.392 3.540 2.549
Sb -4.866 0.896 1.542
Sb 0.000 0.000 0.000
Zr -7.510 2.690 0.865
Zr -6.739 -0.837 -0.496
Zr -3.841 3.723 0.267
Zr -3.071 0.196 -1.095
```

Results
**Formation energy (no corrections)**: -0.903 eV per atom
**Electronic total energy**: -8.236 eV/atom

(4)
This record from the Alexandria database describes an optimized crystal structure of ZrSb3Pt. The functional is PBEsol.

extended XYZ file:
```
5
Lattice="5.350 0.000 0.000 0.000 5.350 0.000 0.000 0.000 5.350" Properties=species:S:1:pos:R:3 pbc="T T T"
Sb 0.000 0.000 2.675
Sb 2.675 0.000 0.000
Sb 0.000 2.675 0.000
Pt 2.675 2.675 2.675
Zr 0.000 0.000 0.000
```

Results
**Formation energy (no corrections)**: 0.869 eV per atom
**Electronic total energy**: -5.076 eV/atom

(5)
This record from the Alexandria database describes an optimized crystal structure of ZrSbPt2. The functional is PBEsol.

extended XYZ file:
```
4
Lattice="-1.302 -2.508 -2.024 0.931 -2.383 2.353 -5.474 0.601 2.776" Properties=species:S:1:pos:R:3 pbc="T T T"
Pt -5.474 0.601 2.776
Pt -1.552 -2.295 0.857
Sb -2.496 0.274 1.266
Zr -4.534 -1.968 2.370
```

Results
**Formation energy (no corrections)**: -0.552 eV per atom
**Electronic total energy**: -7.446 eV/atom

(6)
This record from the Alexandria database describes an optimized crystal structure of ZrSbPt2. The functional is PBEsol.

extended XYZ file:
```
4
Lattice="-1.613 -1.966 -1.586 1.639 -3.433 2.587 -4.095 0.611 3.406" Properties=species:S:1:pos:R:3 pbc="T T T"
Pt -1.447 -3.034 0.982
Pt -5.188 -0.881 2.118
Sb -3.191 -1.176 0.461
Zr -2.802 -1.728 3.574
```

Results
**Formation energy (no corrections)**: -0.627 eV per atom
**Electronic total energy**: -7.520 eV/atom

(7)
This record from the Alexandria database describes an optimized crystal structure of Sc5Pt4. The functional is PBEsol.

extended XYZ file:
```
18
Lattice="5.591 0.000 0.000 0.000 8.204 0.000 0.000 -4.102 7.105" Properties=species:S:1:pos:R:3 pbc="T T T"
Pt 2.795 0.000 0.000
Pt 4.193 -1.612 2.792
Pt 1.398 4.981 0.000
Pt 1.398 -2.490 4.313
Pt 4.193 3.224 0.000
Pt 4.193 2.490 4.313
Pt 1.398 1.612 2.792
Pt 0.000 0.000 0.000
Sc 4.193 -2.939 5.091
Sc 2.795 4.102 2.368
Sc 0.000 4.102 2.368
Sc 4.193 1.163 2.014
Sc 1.398 2.939 5.091
Sc 1.398 2.326 0.000
Sc 4.193 5.878 0.000
Sc 1.398 -1.163 2.014
Sc 2.795 0.000 4.737
Sc 0.000 0.000 4.737
```

Results
**ΔH_f (0 K)**: -1050 meV per atom
**Electronic total energy**: -7.815 eV/atom

(8)
This record from the Alexandria database describes an optimized crystal structure of Sc2Pt. The functional is PBEsol.

extended XYZ file:
```
24
Lattice="-0.859 -2.397 8.300 6.878 -2.949 4.401 3.519 4.828 6.299" Properties=species:S:1:pos:R:3 pbc="T T T"
Sc 1.921 1.757 3.563
Sc 6.096 -1.952 6.292
Sc 0.298 -0.922 4.305
Sc 6.391 0.874 7.725
Sc 3.983 2.942 7.486
Sc 5.556 -3.460 11.514
Sc 1.228 -1.605 8.745
Sc 5.962 -0.324 11.875
Sc 2.848 -2.016 5.937
Sc 4.202 -2.738 8.725
Sc 1.603 0.868 6.641
Sc 3.167 -1.127 2.859
Sc 3.442 1.433 12.709
Sc 8.311 1.086 10.255
Sc 4.472 0.663 5.195
Sc 2.523 1.151 9.675
Pt 8.020 -0.436 15.975
Pt 3.903 -0.212 7.775
Pt 5.522 0.635 14.377
Pt 6.742 -2.190 13.687
Pt 6.402 -1.284 9.373
Pt 3.591 -1.083 10.790
Pt 8.332 0.435 12.961
Pt 5.182 1.541 10.063
```

Results
**ΔH_f (0 K)**: -940 meV per atom
**Electronic total energy**: -7.665 eV/atom

(9)
This record from the Alexandria database describes an optimized crystal structure of Sc2Pt. The functional is PBEsol.

extended XYZ file:
```
9
Lattice="4.382 0.000 0.000 0.000 6.856 0.000 0.000 -3.428 5.938" Properties=species:S:1:pos:R:3 pbc="T T T"
Sc 2.191 4.013 0.000
Sc 0.000 2.548 4.413
Sc 2.191 1.422 2.462
Sc 0.000 1.760 0.000
Sc 0.000 -0.880 1.524
Sc 2.191 -2.007 3.475
Pt 0.000 3.428 1.979
Pt 0.000 0.000 3.958
Pt 2.191 0.000 0.000
```

Results
**ΔH_f (0 K)**: -903 meV per atom
**Electronic total energy**: -7.628 eV/atom

(10)
This record from the Alexandria database describes an optimized crystal structure of ScPt3. The functional is PBEsol.

extended XYZ file:
```
4
Lattice="3.949 0.000 0.000 0.000 3.949 0.000 0.000 0.000 3.949" Properties=species:S:1:pos:R:3 pbc="T T T"
Pt 1.975 1.975 0.000
Pt 0.000 1.975 1.975
Pt 1.975 0.000 1.975
Sc 0.000 0.000 0.000
```

Results
**ΔH_f (0 K)**: -1058 meV per atom
**Electronic total energy**: -7.932 eV/atom